1.
This record from the Alexandria database describes a relaxed ZrUSi crystal. The functional is PBE.

Structure (extended XYZ):
```
3
Lattice="4.842 0.000 0.000 -2.421 4.194 0.000 0.000 0.000 2.937" Properties=species:S:1:pos:R:3 pbc="T T T"
Zr 0.000 0.000 0.000
U 0.000 2.796 1.469
Si 2.421 1.398 0.000
```

Summary:
Crystal system: hexagonal
E: -25.111 eV/cell
Space-group type: P-6m2, No. 187



2.
This record from the Alexandria database describes a relaxed ZrUSi2 crystal. The functional is PBE.

Structure (extended XYZ):
```
4
Lattice="1.929 1.114 6.631 -1.929 1.114 6.631 0.000 -2.227 6.631" Properties=species:S:1:pos:R:3 pbc="T T T"
Zr 0.000 0.000 0.000
U 0.000 0.000 9.946
Si 0.000 0.000 5.058
Si 0.000 0.000 14.835
```

Summary:
Crystal system: trigonal
E: -32.008 eV/cell
Space-group type: R-3m, No. 166



3.
This record from the Alexandria database describes a relaxed VSi crystal. The functional is PBE.

Structure (extended XYZ):
```
12
Lattice="6.749 0.000 0.000 -3.374 5.845 0.000 0.000 0.000 4.500" Properties=species:S:1:pos:R:3 pbc="T T T"
V -1.091 2.516 1.125
V -0.650 5.531 1.125
V 1.634 2.203 3.375
V 1.740 3.642 1.125
V 4.024 0.314 3.375
V 4.465 3.328 3.375
Si -0.635 1.450 3.375
Si -1.801 5.670 3.375
Si 0.938 1.275 1.125
Si 2.437 4.570 3.375
Si 5.176 0.174 1.125
Si 4.010 4.395 1.125
```

Summary:
Crystal system: hexagonal
E: -86.531 eV/cell
Space-group type: P6_3/m, No. 176



4.
This record from the Alexandria database describes a relaxed VSi crystal. The functional is PBE.

Structure (extended XYZ):
```
16
Lattice="7.679 0.000 0.000 0.000 7.679 0.000 0.000 0.000 4.436" Properties=species:S:1:pos:R:3 pbc="T T T"
V 0.698 2.695 0.000
V 0.698 4.984 2.218
V 2.695 0.698 2.218
V 2.695 6.981 0.000
V 4.984 0.698 0.000
V 4.984 6.981 2.218
V 6.981 2.695 2.218
V 6.981 4.984 0.000
Si 1.858 2.917 2.218
Si 1.858 4.761 0.000
Si 2.917 1.858 0.000
Si 2.917 5.821 2.218
Si 4.761 1.858 2.218
Si 4.761 5.821 0.000
Si 5.821 2.917 0.000
Si 5.821 4.761 2.218
```

Summary:
Crystal system: tetragonal
E: -114.581 eV/cell
Space-group type: P4/mcc, No. 124



5.
This record from the Alexandria database describes a relaxed VSi crystal. The functional is PBE.

Structure (extended XYZ):
```
4
Lattice="4.511 -1.327 0.000 4.511 1.327 0.000 -0.825 0.000 4.340" Properties=species:S:1:pos:R:3 pbc="T T T"
V 0.743 0.000 1.448
V 7.453 0.000 2.892
Si 3.166 0.000 0.662
Si 5.030 0.000 3.678
```

Summary:
Crystal system: monoclinic
E: -30.373 eV/cell
Space-group type: C2/m, No. 12



6.
This record from the Alexandria database describes a relaxed V5Si crystal. The functional is PBE.

Structure (extended XYZ):
```
6
Lattice="2.048 -6.183 0.000 2.048 6.183 0.000 0.000 0.000 3.136" Properties=species:S:1:pos:R:3 pbc="T T T"
V 0.000 0.000 0.000
V 2.048 4.206 1.568
V 2.048 2.097 0.000
V 2.048 -2.097 0.000
V 2.048 -4.206 1.568
Si 2.048 0.000 1.568
```

Summary:
Crystal system: orthorhombic
E: -52.478 eV/cell
Space-group type: Cmmm, No. 65



7.
This record from the Alexandria database describes a relaxed V2Si crystal. The functional is PBE.

Structure (extended XYZ):
```
3
Lattice="-1.569 1.569 3.989 1.569 -1.569 3.989 1.569 1.569 -3.989" Properties=species:S:1:pos:R:3 pbc="T T T"
V 0.000 0.000 1.350
V 0.000 0.000 6.629
Si 0.000 0.000 3.989
```

Summary:
Crystal system: tetragonal
E: -24.962 eV/cell
Space-group type: I4/mmm, No. 139



8.
This record from the Alexandria database describes a relaxed V4Si crystal. The functional is PBE.

Structure (extended XYZ):
```
10
Lattice="-3.595 3.595 2.885 3.595 -3.595 2.885 3.595 3.595 -2.885" Properties=species:S:1:pos:R:3 pbc="T T T"
V 2.237 1.798 -0.087
V 4.953 1.798 -0.087
V 0.000 0.440 1.356
V 3.595 0.440 1.529
V 0.000 3.155 1.356
V 3.595 3.155 1.529
V -1.358 1.798 2.972
V 1.358 1.798 2.972
Si 3.595 -1.798 2.164
Si 0.000 5.393 0.721
```

Summary:
Crystal system: tetragonal
E: -82.095 eV/cell
Space-group type: I4_1/amd, No. 141



9.
This record from the Alexandria database describes a relaxed V4Si crystal. The functional is PBE.

Structure (extended XYZ):
```
5
Lattice="4.369 0.000 0.000 0.000 4.369 0.000 0.000 0.000 4.369" Properties=species:S:1:pos:R:3 pbc="T T T"
V 0.000 0.000 0.000
V 0.000 2.184 2.184
V 2.184 0.000 2.184
V 2.184 2.184 0.000
Si 2.184 2.184 2.184
```

Summary:
Crystal system: cubic
E: -37.710 eV/cell
Space-group type: Pm-3m, No. 221



10.
This record from the Alexandria database describes a relaxed VSi crystal. The functional is PBE.

Structure (extended XYZ):
```
6
Lattice="2.135 -7.119 0.000 2.135 7.119 0.000 0.000 0.000 2.679" Properties=species:S:1:pos:R:3 pbc="T T T"
V 0.000 0.000 0.000
V 2.135 2.342 1.339
V 2.135 -2.342 1.339
Si 2.135 4.480 0.000
Si 2.135 0.000 1.339
Si 2.135 -4.480 0.000
```

Summary:
Crystal system: orthorhombic
E: -44.933 eV/cell
Space-group type: Cmmm, No. 65



11.
This record from the Alexandria database describes a relaxed V3Si crystal. The functional is PBE.

Structure (extended XYZ):
```
8
Lattice="4.706 0.000 0.000 0.000 4.706 0.000 0.000 0.000 4.706" Properties=species:S:1:pos:R:3 pbc="T T T"
V 0.000 1.176 2.353
V 0.000 3.529 2.353
V 1.176 2.353 0.000
V 2.353 0.000 1.176
V 2.353 0.000 3.529
V 3.529 2.353 0.000
Si 0.000 0.000 0.000
Si 2.353 2.353 2.353
```

Summary:
Crystal system: cubic
E: -69.257 eV/cell
Space-group type: Pm-3n, No. 223



12.
This record from the Alexandria database describes a relaxed VSi crystal. The functional is PBE.

Structure (extended XYZ):
```
16
Lattice="4.747 0.000 0.000 0.000 5.027 0.000 0.000 0.000 8.843" Properties=species:S:1:pos:R:3 pbc="T T T"
V 0.495 0.548 1.959
V 0.662 1.910 4.806
V 1.711 3.117 0.384
V 1.878 4.478 6.381
V 2.869 1.965 6.884
V 3.036 0.603 4.037
V 4.085 4.423 8.459
V 4.252 3.062 2.462
Si 0.471 2.611 7.115
Si 0.754 4.448 4.136
Si 1.619 0.579 8.557
Si 1.903 2.416 2.693
Si 2.844 4.929 1.728
Si 3.127 3.092 4.708
Si 3.993 1.935 0.286
Si 4.276 0.097 6.150
```

Summary:
Crystal system: orthorhombic
E: -123.396 eV/cell
Space-group type: P2_12_12_1, No. 19



Values for M_tot, μB/atom, ordered as above
0.261, 0.469, 0.000, 0.000, 0.000, 0.000, 0.000, 0.004, 0.055, 0.000, 0.000, 0.000
Values for DOS(E_F), states/eV/cell, ordered as above
5.38, 7.67, 7.81, 9.93, 2.20, 6.24, 1.92, 14.00, 7.59, 3.32, 14.98, 10.99